The following is a PBEsol calculation of a geometry-optimized GaCoNF2 structure, from Alexandria.

Lattice parameters (Å, degrees): 3.782 3.782 3.940 90.00 90.00 90.00
Each line ends with the local moment (μB).
Fractional coordinates of all 5 atoms:
Ga  0.000  0.000  0.000  -0.01
N  0.000  0.000  0.500  0.26
F  0.000  0.500  0.000  0.02
F  0.500  0.000  0.000  0.02
Co  0.500  0.500  0.500  2.42

## Properties
energy relative to the elements, uncorrected	-0.401	eV per atom

=====

The following is a PBEsol calculation of a geometry-optimized Cr2W structure, from Alexandria.

Lattice parameters (Å, degrees): 4.758 4.758 4.758 60.00 60.00 60.00
Fractional coordinates of all 6 atoms:
W  0.750  0.750  0.750
Cr  0.125  0.625  0.125
Cr  0.625  0.125  0.125
W  0.500  0.500  0.500
Cr  0.125  0.125  0.125
Cr  0.125  0.125  0.625

## Properties
ΔH_f (0 K)	0.062	eV/atom
E above lowest polymorph	0.00	kJ per mole of atoms

=====

The following is a PBEsol calculation of a geometry-optimized NiRh2Cl structure, from Alexandria.

Lattice parameters (Å, degrees): 4.219 4.219 4.219 60.00 60.00 60.00
Each line ends with the local moment (μB).
Fractional coordinates of all 4 atoms:
Cl  0.000  0.000  0.000  0.05
Rh  0.750  0.750  0.750  0.75
Ni  0.500  0.500  0.500  0.67
Rh  0.250  0.250  0.250  0.75

## Properties
energy relative to the elements, uncorrected	0.642	eV per atom
E above lowest polymorph	41.44	kJ per mole of atoms

=====

The following is a PBEsol calculation of a geometry-optimized TlMoP structure, from Alexandria.

Lattice parameters (Å, degrees): 3.127 3.127 6.408 90.00 90.00 120.00
Fractional coordinates of all 3 atoms:
P  0.333  0.667  0.716
Mo  0.000  0.000  0.956
Tl  0.667  0.333  0.328

## Properties
ΔH_f (0 K)	0.053	eV/atom

=====

The following is a PBEsol calculation of a geometry-optimized BaZr2W structure, from Alexandria.

Lattice parameters (Å, degrees): 3.215 5.054 6.980 91.99 90.00 108.55
Fractional coordinates of all 4 atoms:
Zr  0.740  0.480  0.160
Zr  0.997  0.995  0.978
W  0.258  0.517  0.845
Ba  0.504  0.008  0.517

## Properties
ΔH_f (0 K)	0.741	eV/atom
E above lowest polymorph	0.00	kJ per mole of atoms

=====

The following is a PBEsol calculation of a geometry-optimized Be2WBr structure, from Alexandria.

Lattice parameters (Å, degrees): 2.906 4.466 4.919 116.99 107.18 90.00
Fractional coordinates of all 4 atoms:
Br  0.500  0.000  0.000
W  0.000  0.500  0.000
Be  0.246  0.246  0.492
Be  0.754  0.754  0.508

## Properties
energy relative to the elements, uncorrected	0.983	eV per atom
E above lowest polymorph	45.06	kJ per mole of atoms

=====

The following is a PBEsol calculation of a geometry-optimized CaRe structure, from Alexandria.

Lattice parameters (Å, degrees): 3.170 5.133 9.125 76.65 80.00 72.01
Fractional coordinates of all 6 atoms:
Re  0.660  0.090  0.591
Ca  0.679  0.413  0.230
Ca  0.000  0.000  0.000
Re  0.000  0.500  0.500
Re  0.340  0.910  0.409
Ca  0.321  0.587  0.770

## Properties
ΔH_f (0 K)	0.504	eV/atom
E above lowest polymorph	0.00	kJ per mole of atoms

=====

The following is a PBEsol calculation of a geometry-optimized Mn2NbCu2 structure, from Alexandria.

Lattice parameters (Å, degrees): 3.339 3.339 6.169 105.70 105.70 90.00
Fractional coordinates of all 5 atoms:
Cu  0.601  0.601  0.201
Cu  0.399  0.399  0.799
Nb  0.000  0.000  0.000
Mn  0.250  0.750  0.500
Mn  0.750  0.250  0.500

## Properties
ΔH_f (0 K)	0.422	eV/atom

=====

> Which formula does entry 1 have?

GaCoNF2

=====

> Number 5 is which compound?

BaZr2W